1.
Here is a relaxed Pr3HfN4 crystal from Alexandria via LeMat-Bulk. Energies are from GGA-PBE.

Calculated values
For the energy above the most stable polymorph in this dataset, the calculation gives 0.65 kcal/mol of atoms. The space group is R3m (160).

Unit cell a=5.131 b=5.131 c=5.131 alpha=90.08 beta=90.08 gamma=90.08
Positions (direct):
Pr (0.253, 0.753, 0.753)
Pr (0.753, 0.253, 0.753)
Pr (0.753, 0.753, 0.253)
Hf (0.286, 0.286, 0.286)
N (0.761, 0.761, 0.761)
N (0.686, 0.253, 0.253)
N (0.253, 0.686, 0.253)
N (0.253, 0.253, 0.686)

=====

2.
Here is a relaxed Ho2Pb2N crystal from Alexandria via LeMat-Bulk. Energies are from GGA-PBE.

Calculated values
The space group is C2/m (12).

Unit cell a=3.526 b=3.526 c=11.070 alpha=80.90 beta=80.84 gamma=59.99
Positions (direct):
Ho (0.707, 0.206, 0.380)
Ho (0.293, 0.794, 0.620)
Pb (0.454, 0.952, 0.140)
Pb (0.546, 0.048, 0.860)
N (0.000, 0.500, 0.500)

=====

3.
Here is a relaxed TiAgN2F crystal from Alexandria via LeMat-Bulk. Energies are from GGA-PBE.

Calculated values
For the energy above the most stable polymorph in this dataset, the calculation gives 30.97 kcal/mol of atoms. The space group is P4/mmm (123).

Unit cell a=4.041 b=4.041 c=3.997 alpha=90.00 beta=90.00 gamma=90.00
Positions (direct):
N (0.000, 0.500, 0.000)
N (0.500, 0.000, 0.000)
F (0.000, 0.000, 0.500)
Ag (0.000, 0.000, 0.000)
Ti (0.500, 0.500, 0.500)

=====

| no. | uncorrected formation energy (kJ per mole of atoms) | E_tot (eV/atom) | ρ (g cm⁻³) |
| --- | --- | --- | --- |
| 1 | -127.40 | -8.52 | 8.1 |
| 2 | -76.85 | -5.78 | 10.7 |
| 3 | 93.30 | -4.89 | 5.2 |